VASP calculation (PBE) on crystalline LaSb3Pd3 at its relaxed geometry.

Structure (CIF):
```
data_LaSb3Pd3
_chemical_formula_sum 'La2 Sb6 Pd6'
_cell_length_a 7.2622
_cell_length_b 7.2622
_cell_length_c 7.2622
_cell_angle_alpha 90.00
_cell_angle_beta 90.00
_cell_angle_gamma 90.00
_symmetry_space_group_name_H-M 'P m -3 n'
_symmetry_Int_Tables_number 223
_symmetry_space_group_name_Hall '-P 4n 2 3'
loop_
_atom_site_label
_atom_site_type_symbol
_atom_site_fract_x
_atom_site_fract_y
_atom_site_fract_z
_atom_site_occupancy
La1 La 0.0000 0.0000 0.0000 1
Sb1 Sb 0.0000 0.2500 0.5000 1
Pd1 Pd 0.0000 0.5000 0.2500 1
```

- ΔE to the lowest computed polymorph: 0.1609 eV/atom
- ΔE_f (raw): -0.370 eV per atom
- E: -5.07 eV/atom
- Magnetization: 0.00 μB per formula unit

***

VASP calculation (PBE) on crystalline Ba2ZrCd at its relaxed geometry.

Structure (CIF):
```
data_Ba2ZrCd
_chemical_formula_sum 'Ba4 Zr2 Cd2'
_cell_length_a 5.3893
_cell_length_b 3.8879
_cell_length_c 14.2654
_cell_angle_alpha 90.00
_cell_angle_beta 90.00
_cell_angle_gamma 90.00
_symmetry_space_group_name_H-M 'A m m 2'
_symmetry_Int_Tables_number 38
loop_
_symmetry_equiv_pos_as_xyz
'x,y,z'
'-x,-y,z'
'-x,y,z'
'x,-y,z'
'x,y+1/2,z+1/2'
'-x,-y+1/2,z+1/2'
'-x,y+1/2,z+1/2'
'x,-y+1/2,z+1/2'
loop_
_atom_site_label
_atom_site_type_symbol
_atom_site_fract_x
_atom_site_fract_y
_atom_site_fract_z
_atom_site_occupancy
Ba1 Ba 0.0000 0.0000 0.0000 1
Ba2 Ba 0.5000 0.0000 0.3128 1
Zr1 Zr 0.0000 0.0000 0.7110 1
Cd1 Cd 0.5000 0.0000 0.6073 1
```

- Calculated formation energy: 280 meV per atom
- E: -3.05 eV/atom
- Magnetization: 0.00 μB per formula unit

***

- The highest E belongs to which entry?
  Ba2ZrCd

***

- What is the E in the first record?
  -5.07 eV/atom

***

- What is the magnetization in the first record?
  0.00 μB per formula unit